Density functional theory data (PBE) for a relaxed Ac2Nd2Cd3 crystal.

```
Ac2Nd2Cd3
1.0
-4.917 4.917 4.917
4.917 -4.917 4.917
4.917 4.917 -4.917
Ac Nd Cd
4 4 6
Direct
0.000 0.343 0.500
0.157 0.157 0.157
0.343 0.500 0.000
0.500 0.000 0.343
0.000 0.858 0.500
0.500 0.000 0.858
0.642 0.642 0.642
0.858 0.500 0.000
0.111 0.750 0.861
0.250 0.639 0.389
0.389 0.250 0.639
0.639 0.389 0.250
0.750 0.861 0.111
0.861 0.111 0.750
```

* DOS(E_F): 23.4 states/eV/cell
* DFT formation energy: -0.10 eV per atom
* E_tot: -3.028 eV per atom

---

Density functional theory data (PBE) for a relaxed Ac4NdCd3 crystal.

```
Ac4NdCd3
1.0
2.902 1.676 9.651
-2.902 1.676 9.651
0.000 -3.351 9.651
Ac Nd Cd
4 1 3
Direct
0.119 0.119 0.119
0.372 0.372 0.372
0.628 0.628 0.628
0.881 0.881 0.881
0.500 0.500 0.500
0.000 0.000 0.000
0.243 0.243 0.243
0.757 0.757 0.757
```

* DOS(E_F): 9.6 states/eV/cell
* DFT formation energy: -0.15 eV per atom
* E_tot: -3.148 eV per atom

---

Density functional theory data (PBE) for a relaxed Ac2NdCd5 crystal.

```
Ac2NdCd5
1.0
5.413 0.000 0.000
0.000 5.413 0.000
0.000 0.000 15.936
Ac Nd Cd
4 2 10
Direct
0.000 0.000 0.236
0.000 0.000 0.764
0.500 0.500 0.264
0.500 0.500 0.736
0.000 0.000 0.500
0.500 0.500 0.000
0.000 0.000 0.000
0.000 0.500 0.109
0.000 0.500 0.391
0.000 0.500 0.609
0.000 0.500 0.891
0.500 0.000 0.109
0.500 0.000 0.391
0.500 0.000 0.609
0.500 0.000 0.891
0.500 0.500 0.500
```

* DOS(E_F): 11.0 states/eV/cell
* DFT formation energy: -0.28 eV per atom
* E_tot: -2.473 eV per atom

---

Density functional theory data (PBE) for a relaxed AcNd6Cd2 crystal.

```
AcNd6Cd2
1.0
8.116 -5.918 0.000
8.116 5.918 0.000
-0.777 0.000 6.196
Ac Nd Cd
2 12 4
Direct
0.111 0.889 0.750
0.889 0.111 0.250
0.029 0.726 0.195
0.107 0.354 0.334
0.274 0.971 0.305
0.327 0.554 0.489
0.354 0.107 0.834
0.446 0.673 0.011
0.554 0.327 0.989
0.646 0.893 0.166
0.673 0.446 0.511
0.726 0.029 0.695
0.893 0.646 0.666
0.971 0.274 0.805
0.208 0.464 0.902
0.464 0.208 0.402
0.536 0.792 0.598
0.792 0.536 0.098
```

* offset from the most stable computed form: 63 meV per atom
* DOS(E_F): 24.1 states/eV/cell
* DFT formation energy: -0.06 eV per atom
* E_tot: -3.902 eV per atom

---

Density functional theory data (PBE) for a relaxed AcNd2Cd3 crystal.

```
AcNd2Cd3
1.0
3.926 0.000 0.000
0.000 3.926 0.000
0.000 0.000 11.821
Ac Nd Cd
1 2 3
Direct
0.000 0.000 0.000
0.000 0.000 0.341
0.000 0.000 0.659
0.500 0.500 0.186
0.500 0.500 0.500
0.500 0.500 0.814
```

* DOS(E_F): 8.1 states/eV/cell
* DFT formation energy: -0.30 eV per atom
* E_tot: -3.034 eV per atom

---

Density functional theory data (PBE) for a relaxed Ac4NdCd crystal.

```
Ac4NdCd
1.0
5.760 0.000 0.000
0.000 5.760 0.000
0.000 0.000 8.101
Ac Nd Cd
4 1 1
Direct
0.000 0.500 0.243
0.000 0.500 0.757
0.500 0.000 0.243
0.500 0.000 0.757
0.000 0.000 0.500
0.500 0.500 0.000
```

* offset from the most stable computed form: 367 meV per atom
* DOS(E_F): 9.4 states/eV/cell
* DFT formation energy: 0.28 eV per atom
* E_tot: -3.403 eV per atom

---

Density functional theory data (PBE) for a relaxed Ac2NdCd9 crystal.

```
Ac2NdCd9
1.0
3.073 1.774 9.785
-3.073 1.774 9.785
0.000 -3.548 9.785
Ac Nd Cd
2 1 9
Direct
0.140 0.140 0.140
0.860 0.860 0.860
0.000 0.000 0.000
0.076 0.584 0.584
0.335 0.335 0.335
0.416 0.416 0.924
0.416 0.924 0.416
0.500 0.500 0.500
0.584 0.076 0.584
0.584 0.584 0.076
0.665 0.665 0.665
0.924 0.416 0.416
```

* DOS(E_F): 7.4 states/eV/cell
* DFT formation energy: -0.23 eV per atom
* E_tot: -2.002 eV per atom

---

Density functional theory data (PBE) for a relaxed Ac3Nd4Cd crystal.

```
Ac3Nd4Cd
1.0
3.855 0.000 0.000
0.000 3.855 0.000
0.000 0.000 19.784
Ac Nd Cd
3 4 1
Direct
0.000 0.000 0.000
0.000 0.000 0.269
0.000 0.000 0.731
0.500 0.500 0.134
0.500 0.500 0.401
0.500 0.500 0.599
0.500 0.500 0.866
0.000 0.000 0.500
```

* DOS(E_F): 11.0 states/eV/cell
* DFT formation energy: -0.06 eV per atom
* E_tot: -4.100 eV per atom

---

Density functional theory data (PBE) for a relaxed Ac2NdCd2 crystal.

```
Ac2NdCd2
1.0
4.001 0.000 0.000
0.000 22.154 0.000
0.000 0.000 3.937
Ac Nd Cd
4 2 4
Direct
0.000 0.175 0.000
0.000 0.825 0.000
0.500 0.325 0.000
0.500 0.675 0.000
0.000 0.000 0.000
0.500 0.500 0.000
0.000 0.420 0.500
0.000 0.580 0.500
0.500 0.080 0.500
0.500 0.920 0.500
```

* offset from the most stable computed form: 0 meV per atom
* DOS(E_F): 13.3 states/eV/cell
* DFT formation energy: -0.16 eV per atom
* E_tot: -3.126 eV per atom

---

Density functional theory data (PBE) for a relaxed AcNd3Cd4 crystal.

```
AcNd3Cd4
1.0
11.025 0.000 0.000
0.000 7.887 0.000
0.000 0.000 5.512
Ac Nd Cd
2 6 8
Direct
0.000 0.000 0.000
0.500 0.000 0.000
0.000 0.500 0.000
0.250 0.000 0.499
0.250 0.500 0.498
0.500 0.500 0.000
0.750 0.000 0.501
0.750 0.500 0.502
0.000 0.262 0.500
0.000 0.738 0.500
0.250 0.262 0.998
0.250 0.738 0.998
0.500 0.262 0.500
0.500 0.738 0.500
0.750 0.262 0.002
0.750 0.738 0.002
```

* DOS(E_F): 19.6 states/eV/cell
* DFT formation energy: -0.30 eV per atom
* E_tot: -3.060 eV per atom

---

Density functional theory data (PBE) for a relaxed Ac2Nd5Cd4 crystal.

```
Ac2Nd5Cd4
1.0
12.003 -1.872 0.000
12.003 1.872 0.000
-2.475 0.000 8.082
Ac Nd Cd
2 5 4
Direct
0.232 0.232 0.292
0.768 0.768 0.708
0.000 0.000 0.500
0.347 0.347 0.092
0.378 0.378 0.549
0.622 0.622 0.451
0.653 0.653 0.908
0.080 0.080 0.107
0.488 0.488 0.176
0.512 0.512 0.824
0.920 0.920 0.893
```

* DOS(E_F): 14.0 states/eV/cell
* DFT formation energy: 0.00 eV per atom
* E_tot: -3.246 eV per atom

---

Density functional theory data (PBE) for a relaxed Ac2NdCd2 crystal.

```
Ac2NdCd2
1.0
-4.174 6.576 3.250
4.174 -6.576 3.250
4.174 6.576 -3.250
Ac Nd Cd
4 2 4
Direct
0.204 0.156 0.360
0.296 0.656 0.952
0.704 0.344 0.048
0.796 0.844 0.640
0.250 0.750 0.500
0.750 0.250 0.500
0.056 0.831 0.887
0.444 0.331 0.774
0.556 0.669 0.226
0.944 0.169 0.113
```

* offset from the most stable computed form: 107 meV per atom
* DOS(E_F): 14.4 states/eV/cell
* DFT formation energy: -0.06 eV per atom
* E_tot: -3.020 eV per atom